Record 1
BaNaCd3: optimized geometry, PBE.

a = 5.5655 Å, b = 5.5655 Å, c = 5.5655 Å
α = 90.00°, β = 90.00°, γ = 90.00°
Closest atoms and distances in Å follow each position.
Fractional coordinates of all 5 atoms:
Cd  0.0000  0.5000  0.0000  2 Na 2.78
Na  0.0000  0.0000  0.0000  6 Cd 2.78
Ba  0.5000  0.5000  0.5000  12 Cd 3.94
Cd  0.0000  0.0000  0.5000  2 Na 2.78
Cd  0.5000  0.0000  0.0000  2 Na 2.78

- Fermi-level density of states: 5.60 states/eV/cell
- Calculated formation energy: 0.051 eV per atom
- Total magnetization: 0.000 μB/cell

=====

Record 2
Ba3Na5Cd12: optimized geometry, PBE.

a = 16.9097 Å, b = 16.9097 Å, c = 16.9097 Å
α = 109.47°, β = 109.47°, γ = 109.47°
Closest atoms and distances in Å follow each position.
Fractional coordinates of all 80 atoms:
Cd  0.4315  0.0856  0.3641  1 Na 3.21, 3 Cd 3.25-3.26, 2 Ba 3.40-3.41
Cd  0.3459  0.9144  0.7785  1 Na 3.21, 3 Cd 3.25-3.26, 2 Ba 3.40-3.41
Cd  0.5685  0.6541  0.4326  1 Na 3.21, 3 Cd 3.25-3.26, 2 Ba 3.40-3.41
Cd  0.9326  0.8641  0.7785  1 Na 3.21, 3 Cd 3.25-3.26, 2 Ba 3.40-3.41
Cd  0.1359  0.0685  0.9144  1 Na 3.21, 3 Cd 3.25-3.26, 2 Ba 3.40-3.41
Na  0.0000  0.0000  0.0000  6 Cd 3.21
Ba  0.6250  0.2500  0.3750  8 Cd 3.40-3.41
Cd  0.0674  0.1359  0.2215  1 Na 3.21, 3 Cd 3.25-3.26, 2 Ba 3.40-3.41
Na  0.5000  0.0000  0.0000  6 Cd 3.21
Na  0.2500  0.8750  0.1250  4 Cd 3.65
Cd  0.6541  0.0856  0.2215  1 Na 3.21, 3 Cd 3.25-3.26, 2 Ba 3.40-3.41
Cd  0.8641  0.9315  0.0856  1 Na 3.21, 3 Cd 3.25-3.26, 2 Ba 3.40-3.41
Cd  0.8641  0.9326  0.2785  1 Na 3.21, 3 Cd 3.25-3.26, 2 Ba 3.40-3.41
Na  0.7500  0.6250  0.3750  4 Cd 3.65
Cd  0.6359  0.4144  0.5685  1 Na 3.21, 3 Cd 3.25-3.26, 2 Ba 3.40-3.41
Cd  0.5856  0.2215  0.1541  1 Na 3.21, 3 Cd 3.25-3.26, 2 Ba 3.40-3.41
Cd  0.2215  0.5856  0.6541  1 Na 3.21, 3 Cd 3.25-3.26, 2 Ba 3.40-3.41
Na  0.2500  0.3750  0.6250  4 Cd 3.65
Ba  0.3750  0.6250  0.2500  8 Cd 3.40-3.41
Cd  0.0685  0.9326  0.1541  1 Na 3.21, 3 Cd 3.25-3.26, 2 Ba 3.40-3.41
Ba  0.2500  0.6250  0.8750  8 Cd 3.40-3.41
Cd  0.2215  0.6359  0.0674  1 Na 3.21, 3 Cd 3.25-3.26, 2 Ba 3.40-3.41
Cd  0.9144  0.3459  0.2785  1 Na 3.21, 3 Cd 3.25-3.26, 2 Ba 3.40-3.41
Cd  0.7215  0.5674  0.1359  1 Na 3.21, 3 Cd 3.25-3.26, 2 Ba 3.40-3.41
Na  0.6250  0.8750  0.2500  4 Cd 3.65
Na  0.1250  0.7500  0.3750  4 Cd 3.65
Ba  0.1250  0.8750  0.7500  8 Cd 3.40-3.41
Na  0.5000  0.5000  0.0000  6 Cd 3.21
Cd  0.4315  0.3459  0.5674  1 Na 3.21, 3 Cd 3.25-3.26, 2 Ba 3.40-3.41
Ba  0.8750  0.1250  0.2500  8 Cd 3.40-3.41
Cd  0.5685  0.9144  0.6359  1 Na 3.21, 3 Cd 3.25-3.26, 2 Ba 3.40-3.41
Ba  0.2500  0.1250  0.3750  8 Cd 3.40-3.41
Cd  0.0674  0.9315  0.3459  1 Na 3.21, 3 Cd 3.25-3.26, 2 Ba 3.40-3.41
Cd  0.5674  0.7215  0.6359  1 Na 3.21, 3 Cd 3.25-3.26, 2 Ba 3.40-3.41
Cd  0.8459  0.2785  0.4144  1 Na 3.21, 3 Cd 3.25-3.26, 2 Ba 3.40-3.41
Na  0.0000  0.0000  0.5000  6 Cd 3.21
Na  0.6250  0.7500  0.8750  4 Cd 3.65
Cd  0.1541  0.7215  0.5856  1 Na 3.21, 3 Cd 3.25-3.26, 2 Ba 3.40-3.41
Cd  0.4144  0.6359  0.0685  1 Na 3.21, 3 Cd 3.25-3.26, 2 Ba 3.40-3.41
Cd  0.5674  0.8459  0.4315  1 Na 3.21, 3 Cd 3.25-3.26, 2 Ba 3.40-3.41
Na  0.1250  0.3750  0.2500  4 Cd 3.65
Ba  0.8750  0.7500  0.1250  8 Cd 3.40-3.41
Cd  0.2785  0.4326  0.8641  1 Na 3.21, 3 Cd 3.25-3.26, 2 Ba 3.40-3.41
Ba  0.3750  0.7500  0.6250  8 Cd 3.40-3.41
Na  0.3750  0.1250  0.7500  4 Cd 3.65
Na  0.5000  0.0000  0.5000  6 Cd 3.21
Na  0.0000  0.5000  0.0000  6 Cd 3.21
Cd  0.9326  0.0685  0.6541  1 Na 3.21, 3 Cd 3.25-3.26, 2 Ba 3.40-3.41
Ba  0.6250  0.3750  0.7500  8 Cd 3.40-3.41
Cd  0.5856  0.3641  0.9315  1 Na 3.21, 3 Cd 3.25-3.26, 2 Ba 3.40-3.41
Na  0.7500  0.1250  0.8750  4 Cd 3.65
Na  0.5000  0.5000  0.5000  6 Cd 3.21
Na  0.3750  0.2500  0.1250  4 Cd 3.65
Na  0.0000  0.5000  0.5000  6 Cd 3.21
Cd  0.4326  0.2785  0.3641  1 Na 3.21, 3 Cd 3.25-3.26, 2 Ba 3.40-3.41
Cd  0.7785  0.3641  0.9326  1 Na 3.21, 3 Cd 3.25-3.26, 2 Ba 3.40-3.41
Cd  0.0856  0.4315  0.8641  1 Na 3.21, 3 Cd 3.25-3.26, 2 Ba 3.40-3.41
Cd  0.3641  0.5856  0.4315  1 Na 3.21, 3 Cd 3.25-3.26, 2 Ba 3.40-3.41
Cd  0.4326  0.1541  0.5685  1 Na 3.21, 3 Cd 3.25-3.26, 2 Ba 3.40-3.41
Cd  0.0685  0.1359  0.4144  1 Na 3.21, 3 Cd 3.25-3.26, 2 Ba 3.40-3.41
Ba  0.1250  0.2500  0.8750  8 Cd 3.40-3.41
Cd  0.6541  0.5685  0.9326  1 Na 3.21, 3 Cd 3.25-3.26, 2 Ba 3.40-3.41
Cd  0.3459  0.4315  0.0674  1 Na 3.21, 3 Cd 3.25-3.26, 2 Ba 3.40-3.41
Cd  0.9315  0.8641  0.5856  1 Na 3.21, 3 Cd 3.25-3.26, 2 Ba 3.40-3.41
Na  0.8750  0.6250  0.7500  4 Cd 3.65
Cd  0.9315  0.0674  0.8459  1 Na 3.21, 3 Cd 3.25-3.26, 2 Ba 3.40-3.41
Cd  0.6359  0.2215  0.5674  1 Na 3.21, 3 Cd 3.25-3.26, 2 Ba 3.40-3.41
Cd  0.1359  0.0674  0.7215  1 Na 3.21, 3 Cd 3.25-3.26, 2 Ba 3.40-3.41
Cd  0.7785  0.4144  0.3459  1 Na 3.21, 3 Cd 3.25-3.26, 2 Ba 3.40-3.41
Na  0.8750  0.2500  0.6250  4 Cd 3.65
Cd  0.3641  0.7785  0.4326  1 Na 3.21, 3 Cd 3.25-3.26, 2 Ba 3.40-3.41
Ba  0.7500  0.8750  0.6250  8 Cd 3.40-3.41
Cd  0.1541  0.4326  0.0685  1 Na 3.21, 3 Cd 3.25-3.26, 2 Ba 3.40-3.41
Cd  0.4144  0.7785  0.8459  1 Na 3.21, 3 Cd 3.25-3.26, 2 Ba 3.40-3.41
Cd  0.8459  0.5674  0.9315  1 Na 3.21, 3 Cd 3.25-3.26, 2 Ba 3.40-3.41
Cd  0.0856  0.6541  0.7215  1 Na 3.21, 3 Cd 3.25-3.26, 2 Ba 3.40-3.41
Cd  0.9144  0.5685  0.1359  1 Na 3.21, 3 Cd 3.25-3.26, 2 Ba 3.40-3.41
Cd  0.7215  0.1541  0.0856  1 Na 3.21, 3 Cd 3.25-3.26, 2 Ba 3.40-3.41
Cd  0.2785  0.8459  0.9144  1 Na 3.21, 3 Cd 3.25-3.26, 2 Ba 3.40-3.41
Ba  0.7500  0.3750  0.1250  8 Cd 3.40-3.41

- Fermi-level density of states: 51.12 states/eV/cell
- Calculated formation energy: 0.135 eV per atom
- Total magnetization: 0.000 μB/cell

=====

Record 3
Ba2NaCd2: optimized geometry, PBE.

a = 6.7697 Å, b = 6.7697 Å, c = 6.7381 Å
α = 59.84°, β = 59.84°, γ = 90.00°
Closest atoms and distances in Å follow each position.
Fractional coordinates of all 5 atoms:
Cd  0.3542  0.3542  0.2916  1 Cd 2.77
Cd  0.6458  0.6458  0.7084  1 Cd 2.77
Na  0.0000  0.0000  0.0000  2 Cd 3.36
Ba  0.7500  0.2500  0.5000  4 Cd 3.53
Ba  0.2500  0.7500  0.5000  4 Cd 3.53

- Fermi-level density of states: 8.88 states/eV/cell
- Calculated formation energy: -0.101 eV per atom
- Total magnetization: 0.000 μB/cell

=====

Record 4
BaNaCd3: optimized geometry, PBE.

a = 6.5432 Å, b = 6.5432 Å, c = 6.5432 Å
α = 90.00°, β = 90.00°, γ = 90.00°
Closest atoms and distances in Å follow each position.
Fractional coordinates of all 5 atoms:
Cd  0.0000  0.0000  0.5000  2 Ba 3.27
Cd  0.5000  0.0000  0.0000  2 Ba 3.27
Na  0.5000  0.5000  0.5000  12 Cd 4.63
Ba  0.0000  0.0000  0.0000  6 Cd 3.27
Cd  0.0000  0.5000  0.0000  2 Ba 3.27

- Fermi-level density of states: 4.67 states/eV/cell
- Calculated formation energy: 0.423 eV per atom
- Total magnetization: 0.000 μB/cell

=====

Record 5
BaNaCd: optimized geometry, PBE.

a = 5.7154 Å, b = 5.7154 Å, c = 5.7154 Å
α = 60.00°, β = 60.00°, γ = 60.00°
Closest atoms and distances in Å follow each position.
Fractional coordinates of all 3 atoms:
Na  0.5000  0.5000  0.5000  4 Cd 3.50
Ba  0.0000  0.0000  0.0000  4 Cd 3.50
Cd  0.2500  0.2500  0.2500  4 Ba 3.50, 4 Na 3.50

- Fermi-level density of states: 2.42 states/eV/cell
- Calculated formation energy: -0.077 eV per atom
- Total magnetization: 0.000 μB/cell

=====

Record 6
BaNaCd2: optimized geometry, PBE.

a = 5.3861 Å, b = 5.3861 Å, c = 11.4178 Å
α = 76.36°, β = 76.36°, γ = 90.00°
Closest atoms and distances in Å follow each position.
Fractional coordinates of all 8 atoms:
Na  0.5000  0.5000  0.0000  4 Cd 3.05
Ba  0.7500  0.2500  0.5000  4 Cd 3.73, 4 Na 3.81
Ba  0.0000  0.0000  0.0000  4 Cd 3.73, 4 Na 3.81
Na  0.2500  0.7500  0.5000  4 Cd 3.05
Cd  0.8750  0.7144  0.7500  2 Cd 2.86, 2 Na 3.05
Cd  0.4644  0.1250  0.2500  2 Cd 2.86, 2 Na 3.05
Cd  0.2856  0.6250  0.2500  2 Cd 2.86, 2 Na 3.05
Cd  0.3750  0.5356  0.7500  2 Cd 2.86, 2 Na 3.05

- Fermi-level density of states: 7.48 states/eV/cell
- Calculated formation energy: -0.014 eV per atom
- Total magnetization: 0.000 μB/cell

=====

Record 7
Ba2NaCd8: optimized geometry, PBE.

a = 6.2310 Å, b = 6.0362 Å, c = 10.9157 Å
α = 113.07°, β = 113.40°, γ = 66.15°
Closest atoms and distances in Å follow each position.
Fractional coordinates of all 11 atoms:
Cd  0.9993  0.9850  0.2713  4 Cd 2.95-3.00
Cd  0.7280  0.7137  0.7287  4 Cd 2.95-3.00
Cd  0.1137  0.6842  0.0000  3 Cd 3.00-3.08
Cd  0.8863  0.3158  0.0000  3 Cd 3.00-3.08
Na  0.5000  0.0000  0.0000  8 Cd 3.33-3.62
Cd  0.2720  0.2863  0.2713  4 Cd 2.95-3.00
Cd  0.7467  0.2467  0.4933  4 Cd 2.98
Ba  0.6485  0.6485  0.2970  12 Cd 3.56-3.71
Cd  0.2533  0.7533  0.5067  4 Cd 2.98
Cd  0.0007  0.0150  0.7287  4 Cd 2.95-3.00
Ba  0.3515  0.3515  0.7030  12 Cd 3.56-3.71

- Fermi-level density of states: 4.46 states/eV/cell
- Calculated formation energy: -0.193 eV per atom
- Total magnetization: 0.000 μB/cell

=====

Record 8
BaNa2Cd: optimized geometry, PBE.

a = 5.9381 Å, b = 5.1471 Å, c = 5.1471 Å
α = 90.00°, β = 90.00°, γ = 90.00°
Closest atoms and distances in Å follow each position.
Fractional coordinates of all 4 atoms:
Ba  0.5000  0.5000  0.5000  4 Cd 3.64, 8 Na 3.93
Cd  0.5000  0.0000  0.0000  4 Ba 3.64, 8 Na 3.93
Na  0.0000  0.5000  0.0000  4 Na 3.64, 4 Cd 3.93, 4 Ba 3.93
Na  0.0000  0.0000  0.5000  4 Na 3.64, 4 Ba 3.93, 4 Cd 3.93

- Fermi-level density of states: 2.67 states/eV/cell
- Calculated formation energy: -0.050 eV per atom
- Total magnetization: 0.000 μB/cell

=====

Record 9
BaNa2Cd: optimized geometry, PBE.

a = 5.0114 Å, b = 5.0114 Å, c = 13.4073 Å
α = 79.23°, β = 79.23°, γ = 90.00°
Closest atoms and distances in Å follow each position.
Fractional coordinates of all 8 atoms:
Ba  0.0000  0.0000  0.0000  4 Cd 3.54, 4 Na 3.77
Ba  0.7500  0.2500  0.5000  4 Cd 3.54, 4 Na 3.77
Na  0.1697  0.6250  0.2500  2 Na 3.24, 2 Cd 3.62
Na  0.3750  0.4197  0.7500  2 Na 3.24, 2 Cd 3.62
Cd  0.5000  0.5000  0.0000  4 Ba 3.54, 4 Na 3.62
Cd  0.2500  0.7500  0.5000  4 Ba 3.54, 4 Na 3.62
Na  0.5803  0.1250  0.2500  2 Na 3.24, 2 Cd 3.62
Na  0.8750  0.8303  0.7500  2 Na 3.24, 2 Cd 3.62

- Fermi-level density of states: 7.31 states/eV/cell
- Calculated formation energy: 0.012 eV per atom
- Total magnetization: 0.000 μB/cell

=====

Record 10
BaNaCd: optimized geometry, PBE.

a = 5.4951 Å, b = 4.2732 Å, c = 10.1622 Å
α = 90.07°, β = 90.00°, γ = 90.00°
Closest atoms and distances in Å follow each position.
Fractional coordinates of all 6 atoms:
Cd  0.2500  0.5002  0.0822  2 Cd 3.22, 1 Na 3.28, 2 Ba 3.56-3.57
Ba  0.2500  0.9994  0.8014  6 Cd 3.56-3.68
Ba  0.7500  0.0006  0.1986  6 Cd 3.56-3.68
Na  0.2500  0.5019  0.4053  1 Cd 3.28, 2 Na 3.35
Cd  0.7500  0.4998  0.9178  2 Cd 3.22, 1 Na 3.28, 2 Ba 3.56-3.57
Na  0.7500  0.4981  0.5947  1 Cd 3.28, 2 Na 3.35

- Fermi-level density of states: 4.69 states/eV/cell
- Calculated formation energy: -0.173 eV per atom
- Total magnetization: 0.000 μB/cell

=====

Record 11
Ba4Na3Cd: optimized geometry, PBE.

a = 4.6643 Å, b = 5.8697 Å, c = 14.1808 Å
α = 90.00°, β = 90.00°, γ = 90.00°
Closest atoms and distances in Å follow each position.
Fractional coordinates of all 8 atoms:
Na  0.0000  0.0000  0.4273  2 Na 3.56
Ba  0.0000  0.5000  0.8699  2 Cd 3.67, 4 Na 3.86
Cd  0.5000  0.5000  0.0698  2 Na 3.51, 7 Ba 3.65-3.88
Na  0.5000  0.0000  0.9346  2 Cd 3.51, 7 Ba 3.73-3.87
Ba  0.5000  0.0000  0.6614  7 Na 3.87-4.06
Ba  0.5000  0.5000  0.3270  1 Cd 3.65, 4 Na 4.01
Na  0.0000  0.5000  0.5698  2 Na 3.56, 4 Ba 3.97
Ba  0.0000  0.0000  0.1401  3 Na 3.73-4.07, 4 Cd 3.88

- Fermi-level density of states: 8.50 states/eV/cell
- Calculated formation energy: -0.050 eV per atom
- Total magnetization: 0.000 μB/cell

=====

Record 12
BaNa9Cd3: optimized geometry, PBE.

a = 6.3529 Å, b = 8.8935 Å, c = 8.7450 Å
α = 82.18°, β = 68.70°, γ = 68.01°
Closest atoms and distances in Å follow each position.
Fractional coordinates of all 13 atoms:
Na  0.0000  0.5000  0.0000  2 Cd 3.18, 4 Na 3.37
Na  0.6394  0.3417  0.3559  3 Cd 3.43-3.51, 6 Na 3.44-3.83
Na  0.2894  0.2132  0.2213  3 Cd 3.25-3.37, 6 Na 3.37-3.61
Na  0.0047  0.6583  0.3559  3 Cd 3.43-3.51, 6 Na 3.44-3.83
Na  0.7106  0.7868  0.7787  3 Cd 3.25-3.37, 6 Na 3.37-3.61
Na  0.3606  0.6583  0.6441  3 Cd 3.43-3.51, 6 Na 3.44-3.83
Cd  0.5000  0.5000  0.0000  10 Na 3.18-3.51
Ba  0.0000  0.0000  0.0000  14 Na 4.00-4.45, 6 Cd 4.37-4.39
Cd  0.5000  0.0000  0.5000  2 Cd 3.18, 8 Na 3.25-3.45
Na  0.5107  0.2132  0.7787  3 Cd 3.25-3.37, 6 Na 3.37-3.61
Cd  0.0000  0.0000  0.5000  2 Cd 3.18, 8 Na 3.25-3.45
Na  0.4893  0.7868  0.2213  3 Cd 3.25-3.37, 6 Na 3.37-3.61
Na  0.9953  0.3417  0.6441  3 Cd 3.43-3.51, 6 Na 3.44-3.83

- Fermi-level density of states: 6.09 states/eV/cell
- Calculated formation energy: -0.058 eV per atom
- Total magnetization: 0.000 μB/cell